The following is a PBE calculation of an optimized crystal structure of Nd2Y3Tm, from Alexandria via LeMat-Bulk.

Geometry as CIF:
```
data_Nd2Y3Tm
_cell_length_a 6.2403
_cell_length_b 6.2403
_cell_length_c 11.6300
_cell_angle_alpha 90.00
_cell_angle_beta 90.00
_cell_angle_gamma 120.00
_space_group_name_H-M_alt 'P 63/m c m'
_space_group_IT_number 193
_space_group_name_Hall '-P 6c 2'
loop_
_atom_site_label
_atom_site_type_symbol
_atom_site_fract_x
_atom_site_fract_y
_atom_site_fract_z
Nd1 Nd 0.3333 0.6667 0.0000
Y1 Y 0.0000 0.3312 0.2500
Tm1 Tm 0.0000 0.0000 0.0000
```

Results
Calculated formation energy: -0.002 eV/atom
Crystal system: hexagonal
Offset from the most stable computed form: 0 meV per atom